*one*
The following is a DFT calculation (PBE-GGA) of a relaxed structure of HgTe3Se.

It has space group Pm-3m (No. 221), with a = 5.568 Å, b = 5.568 Å, c = 5.568 Å, α = 90.00°, β = 90.00° and γ = 90.00°. Symmetry generates all atoms from Hg at (0.000, 0.000, 0.000), Te at (0.000, 0.000, 0.500) and Se at (0.500, 0.500, 0.500).

For the total magnetization, the calculation gives 0.00 μB/f.u.

*two*
The following is a DFT calculation (PBE-GGA) of a relaxed structure of HgTe3Se.

It has space group Pm-3m (No. 221), with a = 5.518 Å, b = 5.518 Å, c = 5.518 Å, α = 90.00°, β = 90.00° and γ = 90.00°. Symmetry generates all atoms from Hg at (0.000, 0.000, 0.000), Te at (0.000, 0.500, 0.500) and Se at (0.500, 0.500, 0.500).

For the total magnetization, the calculation gives 0.00 μB/f.u.

Stability, descending: *two*, *one*

*one*
The following is a DFT calculation (PBE-GGA) of a relaxed structure of Hg2Te2Se.

It has space group P4/mbm (No. 127), with a = 7.258 Å, b = 7.258 Å, c = 6.131 Å, α = 90.00°, β = 90.00° and γ = 90.00°. Symmetry generates all atoms from Hg at (0.153, 0.347, 0.000), Te at (0.133, 0.367, 0.500) and Se at (0.000, 0.000, 0.000).

For the total magnetization, the calculation gives 0.00 μB/f.u.

*two*
The following is a DFT calculation (PBE-GGA) of a relaxed structure of Hg2Te2Se.

It has space group I4/mmm (No. 139), with a = 4.246 Å, b = 4.246 Å, c = 16.396 Å, α = 90.00°, β = 90.00° and γ = 90.00°. Symmetry generates all atoms from Hg at (0.000, 0.000, 0.086), Te at (0.000, 0.500, 0.250) and Se at (0.000, 0.000, 0.500).

For the total magnetization, the calculation gives 0.00 μB/f.u.

*three*
The following is a DFT calculation (PBE-GGA) of a relaxed structure of Hg2Te2Se.

It has space group P4/mbm (No. 127), with a = 8.179 Å, b = 8.179 Å, c = 4.622 Å, α = 90.00°, β = 90.00° and γ = 90.00°. Symmetry generates all atoms from Hg at (0.120, 0.380, 0.000), Te at (0.228, 0.728, 0.500) and Se at (0.000, 0.000, 0.500).

For the total magnetization, the calculation gives 0.00 μB/f.u.

Stability, descending: *three*, *one*, *two*

*one*
The following is a DFT calculation (PBE-GGA) of a relaxed structure of Th2HgSe.

It has space group P4/mmm (No. 123), with a = 3.572 Å, b = 3.572 Å, c = 8.174 Å, α = 90.00°, β = 90.00° and γ = 90.00°. Symmetry generates all atoms from Th at (0.000, 0.000, 0.233), Hg at (0.500, 0.500, 0.500) and Se at (0.500, 0.500, 0.000).

For the total magnetization, the calculation gives 0.00 μB/f.u.

*two*
The following is a DFT calculation (PBE-GGA) of a relaxed structure of Th2HgSe.

It has space group R-3m (No. 166, hexagonal axes), with a = 4.1581 Å, b = 4.1581 Å, c = 23.2504 Å, α = 90.00°, β = 90.00° and γ = 120.00°. Symmetry generates all atoms from Th at (0.0000, 0.0000, 0.2417), Hg at (0.0000, 0.0000, 0.0000) and Se at (0.0000, 0.0000, 0.5000).

For the total magnetization, the calculation gives 0.00 μB/f.u.

*three*
The following is a DFT calculation (PBE-GGA) of a relaxed structure of Th2HgSe.

It has space group R3m (No. 160, hexagonal axes), with a = 3.9685 Å, b = 3.9685 Å, c = 25.3076 Å, α = 90.00°, β = 90.00° and γ = 120.00°. Symmetry generates all atoms from Th at (0.0000, 0.0000, 0.0000), Th at (0.0000, 0.0000, 0.1850), Hg at (0.0000, 0.0000, 0.4258) and Se at (0.0000, 0.0000, 0.5923).

For the total magnetization, the calculation gives 0.00 μB/f.u.

Stability, descending: *two*, *one*, *three*